[1]
Below is a relaxed structure of Zn2BiPb2, with properties calculated at the PBE level.

- space-group type = P4/mbm (127)
- total DFT energy (no corrections) (eV/atom) = -2.58
- magnetization (μB per formula unit) = 0.000
- offset from the most stable computed form (eV/atom) = 0.0974
- formation energy (meV per atom) = 188

Lattice parameters (Å, degrees): 8.865 8.865 3.375 90.00 90.00 90.00
Element x y z (fractional)
Pb 0.353 0.853 0.000
Pb 0.853 0.647 0.000
Pb 0.647 0.147 0.000
Pb 0.147 0.353 0.000
Zn 0.153 0.653 0.500
Zn 0.653 0.847 0.500
Zn 0.847 0.347 0.500
Zn 0.347 0.153 0.500
Bi 0.000 0.000 0.000
Bi 0.500 0.500 0.000

[2]
Below is a relaxed structure of Zn2Bi2Pb, with properties calculated at the PBE level.

- space-group type = P4/mbm (127)
- total DFT energy (no corrections) (eV/atom) = -2.68
- magnetization (μB per formula unit) = 0.000
- offset from the most stable computed form (eV/atom) = 0.0202
- formation energy (meV per atom) = 123

Lattice parameters (Å, degrees): 8.443 8.443 3.633 90.00 90.00 90.00
Element x y z (fractional)
Pb 0.000 0.000 0.000
Pb 0.500 0.500 0.000
Zn 0.389 0.889 0.000
Zn 0.889 0.611 0.000
Zn 0.611 0.111 0.000
Zn 0.111 0.389 0.000
Bi 0.188 0.688 0.500
Bi 0.688 0.812 0.500
Bi 0.812 0.312 0.500
Bi 0.312 0.188 0.500

[3]
Below is a relaxed structure of Zn2Bi2Pb, with properties calculated at the PBE level.

- space-group type = I4/mmm (139)
- total DFT energy (no corrections) (eV/atom) = -2.65
- magnetization (μB per formula unit) = 0.000
- offset from the most stable computed form (eV/atom) = 0.0488
- formation energy (meV per atom) = 152

Lattice parameters (Å, degrees): 4.788 4.788 6.896 69.69 69.69 90.00
Element x y z (fractional)
Pb 0.000 0.000 0.000
Zn 0.400 0.400 0.200
Zn 0.600 0.600 0.800
Bi 0.750 0.250 0.500
Bi 0.250 0.750 0.500